Computed, not measured: an optimized crystal structure of CrHgRh2 at the PBE level of DFT.

Formation energy: 0.167 eV per atom
ρ: 12213 kg/m³
Crystal system: tetragonal
SG: I-4m2 (119)

Unit cell a=4.925 b=4.925 c=4.925 alpha=133.21 beta=133.21 gamma=68.32
Positions (direct):
Cr  0.000  0.000  0.000
Hg  0.750  0.250  0.500
Rh  0.250  0.750  0.500
Rh  0.500  0.500  0.000


Computed, not measured: an optimized crystal structure of Ta2InF at the PBE level of DFT.

Formation energy without anion corrections: 240 meV/atom
Polymorph energy (0 for the lowest one): 0.000 eV/atom
ρ: 11890 kg/m³
Crystal system: cubic
SG: Fm-3m (225)

Unit cell a=4.609 b=4.609 c=4.609 alpha=60.00 beta=60.00 gamma=60.00
Positions (direct):
Ta  0.250  0.250  0.250
Ta  0.750  0.750  0.750
In  0.000  0.000  0.000
F  0.500  0.500  0.500


Computed, not measured: an optimized crystal structure of NbInPb2 at the PBE level of DFT.

Formation energy: 0.570 eV per atom
ρ: 9841 kg/m³
Crystal system: tetragonal
SG: I-42d (122)

Unit cell a=11.387 b=11.387 c=11.387 alpha=157.84 beta=157.84 gamma=31.54
Positions (direct):
Nb  0.000  0.000  0.000
Nb  0.750  0.250  0.500
In  0.250  0.750  0.500
In  0.500  0.500  0.000
Pb  0.115  0.625  0.990
Pb  0.375  0.365  0.490
Pb  0.635  0.125  0.010
Pb  0.875  0.885  0.510


Computed, not measured: an optimized crystal structure of Tl2AsCl6 at the PBE level of DFT.

Formation energy without anion corrections: -766 meV/atom
Polymorph energy (0 for the lowest one): 0.000 eV/atom
ρ: 4580 kg/m³
Crystal system: cubic
SG: Fm-3m (225)

Unit cell a=7.095 b=7.095 c=7.095 alpha=60.00 beta=60.00 gamma=60.00
Positions (direct):
Tl  0.250  0.250  0.250
Tl  0.750  0.750  0.750
As  0.000  0.000  0.000
Cl  0.239  0.239  0.761
Cl  0.239  0.761  0.239
Cl  0.239  0.761  0.761
Cl  0.761  0.239  0.239
Cl  0.761  0.239  0.761
Cl  0.761  0.761  0.239


Computed, not measured: an optimized crystal structure of Ti2As4W3 at the PBE level of DFT.

Formation energy: -0.432 eV per atom
Polymorph energy (0 for the lowest one): 0.000 eV/atom
ρ: 10029 kg/m³
Crystal system: tetragonal
SG: P4_2/m (84)

Unit cell a=9.663 b=9.663 c=3.358 alpha=90.00 beta=90.00 gamma=90.00
Positions (direct):
Ti  0.124  0.690  0.000
Ti  0.310  0.124  0.500
Ti  0.690  0.876  0.500
Ti  0.876  0.310  0.000
As  0.058  0.215  0.500
As  0.215  0.942  0.000
As  0.284  0.555  0.500
As  0.445  0.284  0.000
As  0.555  0.716  0.000
As  0.716  0.445  0.500
As  0.785  0.058  0.000
As  0.942  0.785  0.500
W  0.000  0.500  0.500
W  0.197  0.373  0.000
W  0.373  0.803  0.500
W  0.500  0.000  0.000
W  0.627  0.197  0.500
W  0.803  0.627  0.000


Computed, not measured: an optimized crystal structure of NaBi2SbPd at the PBE level of DFT.

Formation energy without anion corrections: 63 meV/atom
ρ: 7476 kg/m³
Crystal system: tetragonal
SG: P4/mmm (123)

Unit cell a=5.357 b=5.357 c=5.180 alpha=90.00 beta=90.00 gamma=90.00
Positions (direct):
Na  0.000  0.000  0.000
Bi  0.000  0.500  0.500
Bi  0.500  0.000  0.500
Sb  0.500  0.500  0.000
Pd  0.000  0.000  0.500